MnSb2O: relaxed, PBE with a Hubbard U.

The structure in CIF format:
```
data_MnSb2O
_symmetry_space_group_name_H-M 'P 1'
_symmetry_Int_Tables_number 1
_cell_length_a 5.364
_cell_length_b 5.364
_cell_length_c 7.914
_cell_angle_alpha 70.19
_cell_angle_beta 70.19
_cell_angle_gamma 90.00
loop_
_symmetry_equiv_pos_as_xyz
'x,y,z'
loop_
_atom_site_label
_atom_site_type_symbol
_atom_site_fract_x
_atom_site_fract_y
_atom_site_fract_z
Sb1 Sb 0.239 0.625 0.250
O1 O 0.250 0.750 0.500
O2 O 0.500 0.500 0.000
Sb2 Sb 0.511 0.125 0.250
Mn1 Mn 0.000 0.000 0.000
Sb3 Sb 0.875 0.761 0.750
Mn2 Mn 0.750 0.250 0.500
Sb4 Sb 0.375 0.489 0.750
```

Total DFT energy (no corrections) in eV/atom: -5.1381